[1]
CeY2S: optimized geometry, PBE-GGA.

## Properties
Energy above the lowest structure with this stoichiometry, kJ/mol of formula units: 68
Uncorrected energy, eV per atom: -6.453

a = 3.6271 Å, b = 3.6271 Å, c = 30.2768 Å
α = 90.00°, β = 90.00°, γ = 120.00°
Closest atoms and distances in Å follow each position.
Space group R-3m (No. 166, hexagonal axes)
One atom of each set of equivalent atoms:
Ce: 0.0000 0.0000 0.0000 x3  2 Y 3.37, 6 Ce 3.63
Y: 0.0000 0.0000 0.1114 x6  3 S 2.68
S: 0.0000 0.0000 0.5000 x3  6 Y 2.68


[2]
Sm4Tm3Cd4: optimized geometry, PBE-GGA.

## Properties
Calculated formation energy, eV per atom: -0.035
Uncorrected energy, eV per atom: -3.304

a = 3.4777 Å, b = 5.3365 Å, c = 34.1134 Å
α = 90.00°, β = 90.00°, γ = 90.00°
Closest atoms and distances in Å follow each position.
Space group Immm (No. 71)
One atom of each set of equivalent atoms:
Sm: 0.0000 0.0000 0.0905 x4  3 Cd 3.09-3.12
Sm: 0.0000 0.5000 0.2317 x4  4 Cd 3.18-3.45, 6 Sm 3.42-3.48
Tm: 0.0000 0.0000 0.3622 x4  2 Tm 3.48, 6 Cd 3.51-3.67, 6 Sm 3.57-3.65
Tm: 0.0000 0.5000 0.5000 x2  2 Tm 3.48, 8 Cd 3.51, 4 Sm 3.54
Cd: 0.0000 0.0000 0.1810 x4  5 Sm 3.09-3.45
Cd: 0.0000 0.5000 0.0429 x4  1 Cd 2.93, 2 Sm 3.12


[3]
Dy2Al3Au9: optimized geometry, PBE-GGA.

## Properties
Calculated formation energy, eV per atom: -0.612
Uncorrected energy, eV per atom: -4.178

a = 13.7335 Å, b = 7.9038 Å, c = 10.8445 Å
α = 90.00°, β = 115.33°, γ = 90.00°
Closest atoms and distances in Å follow each position.
Space group C2/c (No. 15)
One atom of each set of equivalent atoms:
Dy: 0.1679 0.0832 0.2472 x8  11 Au 3.09-3.22
Al: 0.0861 0.2384 0.4983 x8  8 Au 2.59-2.86
Al: 0.2500 0.2500 0.0000 x4  8 Au 2.63-2.73
Au: 0.0000 0.3514 0.2500 x4  2 Al 2.59
Au: 0.0600 0.0813 0.9274 x8  3 Al 2.62-2.76, 1 Au 2.91
Au: 0.1098 0.4112 0.0729 x8  3 Al 2.69-2.86, 4 Au 2.91-2.97
Au: 0.1137 0.3044 0.7450 x8  2 Al 2.59-2.63
Au: 0.2275 0.4175 0.4345 x8  3 Al 2.65-2.72, 5 Au 2.94-2.96


no.,N(E_F) (states/eV/f.u.)
1,7.43
2,12.39
3,5.58